VASP calculation (PBE) on PdPb5 after structural relaxation.

For the formation energy, the calculation gives -61 meV per atom. The calculation puts the raw total energy at -0.148 Ha/atom. The value obtained for the calculated density is 10.95 g/cm³. As for the space group: I4/mcm (140).

a b c (Å): 8.423 8.423 8.423
angles (deg): 129.54 129.54 74.15
Sites, in units of the cell vectors:
Pd 0.250 0.250 0.000
Pd 0.750 0.750 0.000
Pb 0.000 0.000 0.000
Pb 0.013 0.513 0.821
Pb 0.192 0.013 0.500
Pb 0.308 0.808 0.821
Pb 0.487 0.308 0.500
Pb 0.500 0.500 0.000
Pb 0.513 0.692 0.500
Pb 0.692 0.192 0.179
Pb 0.808 0.987 0.500
Pb 0.987 0.487 0.179

---

VASP calculation (PBE) on PdPb after structural relaxation.

For the formation energy, the calculation gives -141 meV per atom. The calculation puts the raw total energy at -0.169 Ha/atom. The value obtained for the calculated density is 11.14 g/cm³. As for the space group: P6_3/m (176).

a b c (Å): 7.673 7.673 5.503
angles (deg): 90.00 90.00 120.00
Sites, in units of the cell vectors:
Pd 0.120 0.663 0.250
Pd 0.337 0.457 0.250
Pd 0.457 0.120 0.750
Pd 0.543 0.880 0.250
Pd 0.663 0.543 0.750
Pd 0.880 0.337 0.750
Pb 0.096 0.757 0.750
Pb 0.243 0.339 0.750
Pb 0.339 0.096 0.250
Pb 0.661 0.904 0.750
Pb 0.757 0.661 0.250
Pb 0.904 0.243 0.250

---

VASP calculation (PBE) on Pd4Pb3 after structural relaxation.

For the formation energy, the calculation gives -205 meV per atom. The calculation puts the raw total energy at -0.175 Ha/atom. The value obtained for the calculated density is 12.01 g/cm³. As for the space group: Cmcm (63).

a b c (Å): 5.679 5.679 14.718
angles (deg): 90.00 90.00 142.39
Sites, in units of the cell vectors:
Pd 0.000 0.000 0.000
Pd 0.000 0.000 0.500
Pd 0.193 0.807 0.750
Pd 0.364 0.636 0.604
Pd 0.364 0.636 0.896
Pd 0.636 0.364 0.104
Pd 0.636 0.364 0.396
Pd 0.807 0.193 0.250
Pb 0.072 0.928 0.250
Pb 0.346 0.654 0.097
Pb 0.346 0.654 0.403
Pb 0.654 0.346 0.597
Pb 0.654 0.346 0.903
Pb 0.928 0.072 0.750

---

VASP calculation (PBE) on Pd2Pb3 after structural relaxation.

For the formation energy, the calculation gives -175 meV per atom. The calculation puts the raw total energy at -0.165 Ha/atom. The value obtained for the calculated density is 11.80 g/cm³. As for the space group: I4/mmm (139).

a b c (Å): 10.310 10.310 10.310
angles (deg): 160.89 160.89 27.15
Sites, in units of the cell vectors:
Pd 0.089 0.089 0.000
Pd 0.911 0.911 0.000
Pb 0.323 0.323 0.000
Pb 0.500 0.500 0.000
Pb 0.677 0.677 0.000

---

VASP calculation (PBE) on Pd5Pb3 after structural relaxation.

For the formation energy, the calculation gives -217 meV per atom. The calculation puts the raw total energy at -0.178 Ha/atom. The value obtained for the calculated density is 12.52 g/cm³. As for the space group: Cmcm (63).

a b c (Å): 5.845 5.845 9.330
angles (deg): 90.00 90.00 73.80
Sites, in units of the cell vectors:
Pd 0.021 0.979 0.750
Pd 0.044 0.506 0.250
Pd 0.290 0.710 0.033
Pd 0.290 0.710 0.467
Pd 0.494 0.956 0.250
Pd 0.506 0.044 0.750
Pd 0.710 0.290 0.533
Pd 0.710 0.290 0.967
Pd 0.956 0.494 0.750
Pd 0.979 0.021 0.250
Pb 0.210 0.210 0.000
Pb 0.210 0.210 0.500
Pb 0.429 0.571 0.750
Pb 0.571 0.429 0.250
Pb 0.790 0.790 0.000
Pb 0.790 0.790 0.500

---

VASP calculation (PBE) on Pd3Pb4 after structural relaxation.

For the formation energy, the calculation gives -181 meV per atom. The calculation puts the raw total energy at -0.166 Ha/atom. The value obtained for the calculated density is 11.82 g/cm³. As for the space group: P-3 (147).

a b c (Å): 12.192 12.192 3.759
angles (deg): 90.00 90.00 120.00
Sites, in units of the cell vectors:
Pd 0.000 0.000 0.000
Pd 0.124 0.418 0.259
Pd 0.294 0.876 0.259
Pd 0.333 0.667 0.263
Pd 0.418 0.294 0.741
Pd 0.582 0.706 0.259
Pd 0.667 0.333 0.737
Pd 0.706 0.124 0.741
Pd 0.876 0.582 0.741
Pb 0.017 0.779 0.246
Pb 0.136 0.620 0.761
Pb 0.221 0.238 0.246
Pb 0.238 0.017 0.754
Pb 0.380 0.516 0.761
Pb 0.484 0.864 0.761
Pb 0.516 0.136 0.239
Pb 0.620 0.484 0.239
Pb 0.762 0.983 0.246
Pb 0.779 0.762 0.754
Pb 0.864 0.380 0.239
Pb 0.983 0.221 0.754

---

VASP calculation (PBE) on Pd3Pb5 after structural relaxation.

For the formation energy, the calculation gives -140 meV per atom. The calculation puts the raw total energy at -0.162 Ha/atom. The value obtained for the calculated density is 11.49 g/cm³. As for the space group: Pbam (55).

a b c (Å): 7.876 13.532 3.676
angles (deg): 90.00 90.00 90.00
Sites, in units of the cell vectors:
Pd 0.000 0.000 0.000
Pd 0.018 0.311 0.500
Pd 0.482 0.811 0.500
Pd 0.500 0.500 0.000
Pd 0.518 0.189 0.500
Pd 0.982 0.689 0.500
Pb 0.000 0.500 0.000
Pb 0.182 0.114 0.500
Pb 0.186 0.819 0.000
Pb 0.314 0.319 0.000
Pb 0.318 0.614 0.500
Pb 0.500 0.000 0.000
Pb 0.682 0.386 0.500
Pb 0.686 0.681 0.000
Pb 0.814 0.181 0.000
Pb 0.818 0.886 0.500

---

VASP calculation (PBE) on PdPb3 after structural relaxation.

For the formation energy, the calculation gives -38 meV per atom. The calculation puts the raw total energy at -0.151 Ha/atom. The value obtained for the calculated density is 10.89 g/cm³. As for the space group: Pmm2 (25).

a b c (Å): 3.445 3.562 9.046
angles (deg): 90.00 90.00 90.00
Sites, in units of the cell vectors:
Pd 0.000 0.000 0.000
Pb 0.000 0.500 0.244
Pb 0.500 0.000 0.516
Pb 0.500 0.500 0.840

---

raw total energy of number 8 (PdPb3)? -0.151 Ha/atom

---

Repeat the sixth record exactly.
VASP calculation (PBE) on Pd3Pb4 after structural relaxation.

For the formation energy, the calculation gives -181 meV per atom. The calculation puts the raw total energy at -0.166 Ha/atom. The value obtained for the calculated density is 11.82 g/cm³. As for the space group: P-3 (147).

a b c (Å): 12.192 12.192 3.759
angles (deg): 90.00 90.00 120.00
Sites, in units of the cell vectors:
Pd 0.000 0.000 0.000
Pd 0.124 0.418 0.259
Pd 0.294 0.876 0.259
Pd 0.333 0.667 0.263
Pd 0.418 0.294 0.741
Pd 0.582 0.706 0.259
Pd 0.667 0.333 0.737
Pd 0.706 0.124 0.741
Pd 0.876 0.582 0.741
Pb 0.017 0.779 0.246
Pb 0.136 0.620 0.761
Pb 0.221 0.238 0.246
Pb 0.238 0.017 0.754
Pb 0.380 0.516 0.761
Pb 0.484 0.864 0.761
Pb 0.516 0.136 0.239
Pb 0.620 0.484 0.239
Pb 0.762 0.983 0.246
Pb 0.779 0.762 0.754
Pb 0.864 0.380 0.239
Pb 0.983 0.221 0.754

---

What did the eighth record say?
VASP calculation (PBE) on PdPb3 after structural relaxation.

For the formation energy, the calculation gives -38 meV per atom. The calculation puts the raw total energy at -0.151 Ha/atom. The value obtained for the calculated density is 10.89 g/cm³. As for the space group: Pmm2 (25).

a b c (Å): 3.445 3.562 9.046
angles (deg): 90.00 90.00 90.00
Sites, in units of the cell vectors:
Pd 0.000 0.000 0.000
Pb 0.000 0.500 0.244
Pb 0.500 0.000 0.516
Pb 0.500 0.500 0.840

---

What did the fifth record say?
VASP calculation (PBE) on Pd5Pb3 after structural relaxation.

For the formation energy, the calculation gives -217 meV per atom. The calculation puts the raw total energy at -0.178 Ha/atom. The value obtained for the calculated density is 12.52 g/cm³. As for the space group: Cmcm (63).

a b c (Å): 5.845 5.845 9.330
angles (deg): 90.00 90.00 73.80
Sites, in units of the cell vectors:
Pd 0.021 0.979 0.750
Pd 0.044 0.506 0.250
Pd 0.290 0.710 0.033
Pd 0.290 0.710 0.467
Pd 0.494 0.956 0.250
Pd 0.506 0.044 0.750
Pd 0.710 0.290 0.533
Pd 0.710 0.290 0.967
Pd 0.956 0.494 0.750
Pd 0.979 0.021 0.250
Pb 0.210 0.210 0.000
Pb 0.210 0.210 0.500
Pb 0.429 0.571 0.750
Pb 0.571 0.429 0.250
Pb 0.790 0.790 0.000
Pb 0.790 0.790 0.500